Entry 1:
Density functional theory data (PBE-GGA) for an optimized crystal structure of Be2SbBr.

Unit cell a=4.0106 b=4.0106 c=7.1964 alpha=116.50 beta=116.50 gamma=51.15
Sites, in units of the cell vectors:
Be 0.1942 0.1942 0.2969
Be 0.8058 0.8058 0.7031
Sb 0.0000 0.0000 0.5000
Br 0.5000 0.5000 0.0000

Results
- polymorph energy (0 for the lowest one) (meV/atom) = 262
- symmetry = No. 12
- total DFT energy (no corrections) (eV/cell) = -12.35
- density of states at the Fermi level (states/eV/atom) = 0.2260
- magnetization (μB per formula unit) = 0.00
- formation energy (no corrections) (eV per atom) = 0.223

***

Entry 2:
Density functional theory data (PBE-GGA) for an optimized crystal structure of Ho2Th2Al4Cu.

Unit cell a=6.6012 b=6.6012 c=6.6012 alpha=116.57 beta=116.57 gamma=96.06
Sites, in units of the cell vectors:
Ho 0.1939 0.1939 0.0000
Ho 0.8061 0.8061 0.0000
Th 0.2500 0.7500 0.5000
Th 0.7500 0.2500 0.5000
Al 0.2600 0.2600 0.5201
Al 0.2600 0.7400 0.0000
Al 0.7400 0.2600 0.0000
Al 0.7400 0.7400 0.4799
Cu 0.5000 0.5000 0.0000

Results
- symmetry = No. 139
- total DFT energy (no corrections) (eV/cell) = -44.61
- ΔE_f (eV per atom) = -0.17
- density of states at the Fermi level (states/eV/atom) = 1.0322
- magnetization (μB per formula unit) = 0.00

***

Entry 3:
Density functional theory data (PBE-GGA) for an optimized crystal structure of SiSb2C.

Unit cell a=6.1544 b=6.1544 c=6.1544 alpha=118.44 beta=118.44 gamma=92.73
Sites, in units of the cell vectors:
Si 0.0000 0.0000 0.0000
Si 0.7500 0.2500 0.5000
Sb 0.1819 0.1250 0.5569
Sb 0.3750 0.8181 0.9431
Sb 0.5681 0.6250 0.4431
Sb 0.8750 0.4319 0.0569
C 0.2500 0.7500 0.5000
C 0.5000 0.5000 0.0000

Results
- polymorph energy (0 for the lowest one) (meV/atom) = 0
- symmetry = No. 122
- total DFT energy (no corrections) (eV/cell) = -38.07
- density of states at the Fermi level (states/eV/atom) = 0.4555
- magnetization (μB per formula unit) = 0.00
- formation energy (no corrections) (eV per atom) = 0.964

***

Entry 4:
Density functional theory data (PBE-GGA) for an optimized crystal structure of LiMgPb.

Unit cell a=4.8212 b=4.8212 c=4.8212 alpha=60.00 beta=60.00 gamma=60.00
Sites, in units of the cell vectors:
Li 0.0000 0.0000 0.0000
Mg 0.5000 0.5000 0.5000
Pb 0.2500 0.2500 0.2500

Results
- polymorph energy (0 for the lowest one) (meV/atom) = 98
- symmetry = No. 216
- total DFT energy (no corrections) (eV/cell) = -7.47
- ΔE_f (eV per atom) = -0.09
- density of states at the Fermi level (states/eV/atom) = 0.7437
- magnetization (μB per formula unit) = 0.00

***

Entry 5:
Density functional theory data (PBE-GGA) for an optimized crystal structure of Cd5Ga3Hg12.

Unit cell a=14.6203 b=14.6203 c=14.6203 alpha=109.47 beta=109.47 gamma=109.47
Sites, in units of the cell vectors:
Cd 0.0000 0.0000 0.0000
Cd 0.0000 0.0000 0.5000
Cd 0.0000 0.5000 0.0000
Cd 0.0000 0.5000 0.5000
Cd 0.1250 0.7500 0.8750
Cd 0.1250 0.8750 0.2500
Cd 0.2500 0.1250 0.8750
Cd 0.2500 0.6250 0.3750
Cd 0.3750 0.2500 0.6250
Cd 0.3750 0.6250 0.7500
Cd 0.5000 0.0000 0.0000
Cd 0.5000 0.0000 0.5000
Cd 0.5000 0.5000 0.0000
Cd 0.5000 0.5000 0.5000
Cd 0.6250 0.3750 0.2500
Cd 0.6250 0.7500 0.3750
Cd 0.7500 0.3750 0.6250
Cd 0.7500 0.8750 0.1250
Cd 0.8750 0.1250 0.7500
Cd 0.8750 0.2500 0.1250
Ga 0.1250 0.2500 0.3750
Ga 0.1250 0.3750 0.7500
Ga 0.2500 0.3750 0.1250
Ga 0.2500 0.8750 0.6250
Ga 0.3750 0.1250 0.2500
Ga 0.3750 0.7500 0.1250
Ga 0.6250 0.2500 0.8750
Ga 0.6250 0.8750 0.7500
Ga 0.7500 0.1250 0.3750
Ga 0.7500 0.6250 0.8750
Ga 0.8750 0.6250 0.2500
Ga 0.8750 0.7500 0.6250
Hg 0.0603 0.6265 0.3887
Hg 0.0603 0.9338 0.6716
Hg 0.0662 0.2377 0.1265
Hg 0.0662 0.3284 0.9397
Hg 0.1113 0.7377 0.6716
Hg 0.1113 0.8735 0.4397
Hg 0.1265 0.0662 0.2377
Hg 0.1265 0.5603 0.8887
Hg 0.1716 0.2377 0.6113
Hg 0.1716 0.4338 0.5603
Hg 0.2377 0.1265 0.0662
Hg 0.2377 0.6113 0.1716
Hg 0.2623 0.3284 0.8887
Hg 0.2623 0.4338 0.3735
Hg 0.3284 0.8887 0.2623
Hg 0.3284 0.9397 0.0662
Hg 0.3735 0.2623 0.4338
Hg 0.3735 0.6113 0.9397
Hg 0.3887 0.0603 0.6265
Hg 0.3887 0.8284 0.7623
Hg 0.4338 0.3735 0.2623
Hg 0.4338 0.5603 0.1716
Hg 0.4397 0.1113 0.8735
Hg 0.4397 0.8284 0.5662
Hg 0.5603 0.1716 0.4338
Hg 0.5603 0.8887 0.1265
Hg 0.5662 0.4397 0.8284
Hg 0.5662 0.6265 0.7377
Hg 0.6113 0.1716 0.2377
Hg 0.6113 0.9397 0.3735
Hg 0.6265 0.3887 0.0603
Hg 0.6265 0.7377 0.5662
Hg 0.6716 0.0603 0.9338
Hg 0.6716 0.1113 0.7377
Hg 0.7377 0.5662 0.6265
Hg 0.7377 0.6716 0.1113
Hg 0.7623 0.3887 0.8284
Hg 0.7623 0.8735 0.9338
Hg 0.8284 0.5662 0.4397
Hg 0.8284 0.7623 0.3887
Hg 0.8735 0.4397 0.1113
Hg 0.8735 0.9338 0.7623
Hg 0.8887 0.1265 0.5603
Hg 0.8887 0.2623 0.3284
Hg 0.9338 0.6716 0.0603
Hg 0.9338 0.7623 0.8735
Hg 0.9397 0.0662 0.3284
Hg 0.9397 0.3735 0.6113

Results
- symmetry = No. 230
- total DFT energy (no corrections) (eV/cell) = -58.60
- ΔE_f (eV per atom) = 0.13
- density of states at the Fermi level (states/eV/atom) = 0.3150
- magnetization (μB per formula unit) = 0.00

***

Entry 6:
Density functional theory data (PBE-GGA) for an optimized crystal structure of CoHg2Br.

Unit cell a=5.3694 b=5.3694 c=5.3694 alpha=129.77 beta=129.77 gamma=73.78
Sites, in units of the cell vectors:
Co 0.0000 0.0000 0.0000
Hg 0.2500 0.7500 0.5000
Hg 0.5000 0.5000 0.0000
Br 0.7500 0.2500 0.5000

Results
- polymorph energy (0 for the lowest one) (meV/atom) = 505
- symmetry = No. 119
- total DFT energy (no corrections) (eV/cell) = -6.99
- density of states at the Fermi level (states/eV/atom) = 1.4425
- magnetization (μB per formula unit) = 1.93
- formation energy (no corrections) (eV per atom) = 0.598

***

Entry 7:
Density functional theory data (PBE-GGA) for an optimized crystal structure of CsK2CaBr5.

Unit cell a=9.3749 b=9.3749 c=9.3749 alpha=145.31 beta=128.73 gamma=63.39
Sites, in units of the cell vectors:
Cs 0.0000 0.0000 0.0000
K 0.2924 0.7924 0.5000
K 0.7076 0.2076 0.5000
Ca 0.5000 0.5000 0.0000
Br 0.1222 0.3672 0.7550
Br 0.3879 0.6328 0.7550
Br 0.5000 0.0000 0.5000
Br 0.6121 0.3672 0.2450
Br 0.8778 0.6328 0.2450

Results
- symmetry = No. 71
- total DFT energy (no corrections) (eV/cell) = -30.07
- density of states at the Fermi level (states/eV/atom) = 0.0000
- magnetization (μB per formula unit) = 0.00
- formation energy (no corrections) (eV per atom) = -1.851

***

Entry 8:
Density functional theory data (PBE-GGA) for an optimized crystal structure of Ca5Be3.

Unit cell a=8.8934 b=8.8934 c=6.4659 alpha=90.00 beta=90.00 gamma=120.00
Sites, in units of the cell vectors:
Ca 0.0000 0.2617 0.2500
Ca 0.0000 0.7383 0.7500
Ca 0.2617 0.0000 0.2500
Ca 0.2617 0.2617 0.7500
Ca 0.3333 0.6667 0.0000
Ca 0.3333 0.6667 0.5000
Ca 0.6667 0.3333 0.0000
Ca 0.6667 0.3333 0.5000
Ca 0.7383 0.0000 0.7500
Ca 0.7383 0.7383 0.2500
Be 0.0000 0.3956 0.7500
Be 0.0000 0.6044 0.2500
Be 0.3956 0.0000 0.7500
Be 0.3956 0.3956 0.2500
Be 0.6044 0.0000 0.2500
Be 0.6044 0.6044 0.7500

Results
- symmetry = No. 193
- total DFT energy (no corrections) (eV/cell) = -36.46
- ΔE_f (eV per atom) = 0.37
- density of states at the Fermi level (states/eV/atom) = 1.2058
- magnetization (μB per formula unit) = 0.00

***

Entry 9:
Density functional theory data (PBE-GGA) for an optimized crystal structure of HoCdIr.

Unit cell a=4.6595 b=4.6595 c=4.6595 alpha=60.00 beta=60.00 gamma=60.00
Sites, in units of the cell vectors:
Ho 0.0000 0.0000 0.0000
Cd 0.5000 0.5000 0.5000
Ir 0.2500 0.2500 0.2500

Results
- symmetry = No. 216
- total DFT energy (no corrections) (eV/cell) = -15.64
- ΔE_f (eV per atom) = -0.43
- density of states at the Fermi level (states/eV/atom) = 0.1809
- magnetization (μB per formula unit) = 0.00

***

Entry 10:
Density functional theory data (PBE-GGA) for an optimized crystal structure of In2ReCl.

Unit cell a=8.2981 b=8.2981 c=8.2981 alpha=137.02 beta=137.02 gamma=62.41
Sites, in units of the cell vectors:
In 0.0816 0.6250 0.9566
In 0.3750 0.3316 0.4566
In 0.6684 0.1250 0.0434
In 0.8750 0.9184 0.5434
Re 0.0000 0.0000 0.0000
Re 0.7500 0.2500 0.5000
Cl 0.2500 0.7500 0.5000
Cl 0.5000 0.5000 0.0000

Results
- polymorph energy (0 for the lowest one) (meV/atom) = 641
- symmetry = No. 122
- total DFT energy (no corrections) (eV/cell) = -32.24
- density of states at the Fermi level (states/eV/atom) = 0.8014
- magnetization (μB per formula unit) = 1.67
- formation energy (no corrections) (eV per atom) = 0.913

***

Entry 11:
Density functional theory data (PBE-GGA) for an optimized crystal structure of YTe2.

Unit cell a=6.1580 b=6.1580 c=6.1580 alpha=111.51 beta=111.51 gamma=105.46
Sites, in units of the cell vectors:
Y 0.2500 0.2500 0.0000
Y 0.7500 0.7500 0.0000
Te 0.1583 0.6583 0.8166
Te 0.3417 0.1583 0.5000
Te 0.6583 0.8417 0.5000
Te 0.8417 0.3417 0.1834

Results
- symmetry = No. 140
- total DFT energy (no corrections) (eV/cell) = -31.77
- density of states at the Fermi level (states/eV/atom) = 0.7254
- magnetization (μB per formula unit) = 0.00
- formation energy (no corrections) (eV per atom) = -1.046

***

Entry 12:
Density functional theory data (PBE-GGA) for an optimized crystal structure of KCaNb.

Unit cell a=3.9946 b=3.9946 c=14.3771 alpha=90.00 beta=90.00 gamma=90.00
Sites, in units of the cell vectors:
K 0.2500 0.2500 0.2344
K 0.7500 0.7500 0.7656
Ca 0.2500 0.7500 0.5000
Ca 0.7500 0.2500 0.5000
Nb 0.2500 0.2500 0.9920
Nb 0.7500 0.7500 0.0080

Results
- polymorph energy (0 for the lowest one) (meV/atom) = 867
- symmetry = No. 129
- total DFT energy (no corrections) (eV/cell) = -19.45
- ΔE_f (eV per atom) = 1.15
- density of states at the Fermi level (states/eV/atom) = 1.4211
- magnetization (μB per formula unit) = 0.32